The following is a GGA-PBE calculation of a relaxed structure of CaAc6CoOs, from the Alexandria database.

The value obtained for the formation energy is 0.118 eV per atom. For the total magnetic moment, the calculation gives 0.0 μB per formula unit. The calculated density comes out at 6.9 Mg/m³.

The structure belongs to space group P312 (No. 149); the cell edges are 7.4725, 7.4725 and 8.2499 Å and the angles 90.00°, 90.00° and 120.00°. The inequivalent atoms are Ca at (0.0000, 0.0000, 0.0000), Ac at (0.3654, 0.0057, 0.6980), Co at (0.6667, 0.3333, 0.5000) and Os at (0.3333, 0.6667, 0.5000).